Record 1
DFT (GGA-PBE) results for a relaxed RbZrCuSe4 crystal.

Summary:
Calculated volume   26.01 Å³/atom
Spin magnetization   0.00 μB per cell
Density of states at the Fermi level   5.0 states/eV/f.u.
Formation energy without anion corrections   -0.854 eV/atom

Structure (POSCAR):
```
RbZrCuSe4
1.0
6.924 0.000 0.000
0.000 5.608 0.000
-2.881 0.000 9.376
Rb Zr Cu Se
2 2 2 8
Direct
0.229 0.250 0.044 Rb
0.771 0.750 0.956 Rb
0.272 0.250 0.557 Zr
0.728 0.750 0.443 Zr
0.281 0.750 0.333 Cu
0.719 0.250 0.667 Cu
0.010 0.510 0.682 Se
0.010 0.990 0.682 Se
0.436 0.750 0.586 Se
0.478 0.750 0.177 Se
0.522 0.250 0.823 Se
0.564 0.250 0.414 Se
0.990 0.010 0.318 Se
0.990 0.490 0.318 Se
```

---

Record 2
DFT (GGA-PBE) results for a relaxed SrTa2Ag crystal.

Summary:
Calculated volume   23.77 Å³/atom
ΔE to the lowest computed polymorph   0.224 eV/atom
Spin magnetization   0.00 μB per cell
Formation enthalpy at 0 K   0.65 eV/atom
Density of states at the Fermi level   4.1 states/eV/f.u.

Structure (POSCAR):
```
SrTa2Ag
1.0
4.954 -1.510 0.000
4.954 1.510 0.000
-1.027 0.000 6.356
Sr Ta Ag
1 2 1
Direct
0.000 0.000 0.000 Sr
0.518 0.518 0.474 Ta
0.783 0.783 0.381 Ta
0.238 0.238 0.746 Ag
```

---

Record 3
DFT (GGA-PBE) results for a relaxed SmDy2Ho2Sc crystal.

Summary:
Calculated volume   30.28 Å³/atom
Spin magnetization   0.00 μB per cell
Formation enthalpy at 0 K   0.10 eV/atom
Density of states at the Fermi level   10.4 states/eV/f.u.

Structure (POSCAR):
```
SmDy2Ho2Sc
1.0
6.856 0.000 0.000
0.000 9.610 0.000
0.000 0.000 5.516
Sm Dy Ho Sc
2 4 4 2
Direct
0.000 0.000 0.000 Sm
0.500 0.500 0.500 Sm
0.247 0.334 0.000 Dy
0.253 0.834 0.500 Dy
0.747 0.166 0.500 Dy
0.753 0.666 0.000 Dy
0.248 0.667 0.000 Ho
0.252 0.167 0.500 Ho
0.748 0.833 0.500 Ho
0.752 0.333 0.000 Ho
0.000 0.500 0.500 Sc
0.500 0.000 0.000 Sc
```

---

Record 4
DFT (GGA-PBE) results for a relaxed CrTe crystal.

Summary:
Calculated volume   24.15 Å³/atom
Spin magnetization   4.00 μB per cell
Density of states at the Fermi level   0.7 states/eV/f.u.
Formation energy without anion corrections   0.137 eV/atom

Structure (POSCAR):
```
CrTe
1.0
3.931 0.000 0.000
-1.965 3.404 0.000
0.000 0.000 3.610
Cr Te
1 1
Direct
0.000 0.000 0.000 Cr
0.667 0.333 0.500 Te
```

---

Record 5
DFT (GGA-PBE) results for a relaxed Li2ReRu crystal.

Summary:
Calculated volume   13.70 Å³/atom
ΔE to the lowest computed polymorph   0.775 eV/atom
Spin magnetization   0.00 μB per cell
Formation enthalpy at 0 K   0.93 eV/atom
Density of states at the Fermi level   4.2 states/eV/f.u.

Structure (POSCAR):
```
Li2ReRu
1.0
-3.358 3.358 2.430
3.358 -3.358 2.430
3.358 3.358 -2.430
Li Re Ru
4 2 2
Direct
0.116 0.125 0.491 Li
0.375 0.884 0.009 Li
0.634 0.625 0.509 Li
0.875 0.366 0.991 Li
0.250 0.750 0.500 Re
0.500 0.500 0.000 Re
0.000 0.000 0.000 Ru
0.750 0.250 0.500 Ru
```

---

Record 6
DFT (GGA-PBE) results for a relaxed Al2InIr2 crystal.

Summary:
Calculated volume   16.07 Å³/atom
ΔE to the lowest computed polymorph   0.000 eV/atom
Spin magnetization   0.00 μB per cell
Formation enthalpy at 0 K   -0.59 eV/atom
Density of states at the Fermi level   1.3 states/eV/f.u.

Structure (POSCAR):
```
Al2InIr2
1.0
7.391 0.000 0.000
0.000 7.391 0.000
0.000 0.000 2.941
Al In Ir
4 2 4
Direct
0.141 0.359 0.000 Al
0.359 0.859 0.000 Al
0.641 0.141 0.000 Al
0.859 0.641 0.000 Al
0.000 0.000 0.500 In
0.500 0.500 0.500 In
0.152 0.652 0.500 Ir
0.348 0.152 0.500 Ir
0.652 0.848 0.500 Ir
0.848 0.348 0.500 Ir
```

---

Record 7
DFT (GGA-PBE) results for a relaxed MgTe2Br crystal.

Summary:
Calculated volume   28.04 Å³/atom
ΔE to the lowest computed polymorph   0.353 eV/atom
Spin magnetization   0.00 μB per cell
Density of states at the Fermi level   2.3 states/eV/f.u.
Formation energy without anion corrections   -0.275 eV/atom

Structure (POSCAR):
```
MgTe2Br
1.0
3.830 0.000 0.000
0.000 3.830 0.000
0.000 0.000 7.646
Mg Te Br
1 2 1
Direct
0.000 0.000 0.000 Mg
0.500 0.500 0.190 Te
0.500 0.500 0.810 Te
0.000 0.000 0.500 Br
```

---

Record 8
DFT (GGA-PBE) results for a relaxed Sr2AcZn9 crystal.

Summary:
Calculated volume   21.23 Å³/atom
Spin magnetization   0.00 μB per cell
Formation enthalpy at 0 K   -0.21 eV/atom
Density of states at the Fermi level   6.6 states/eV/f.u.

Structure (POSCAR):
```
Sr2AcZn9
1.0
2.870 1.657 8.930
-2.870 1.657 8.930
0.000 -3.314 8.930
Sr Ac Zn
2 1 9
Direct
0.144 0.144 0.144 Sr
0.856 0.856 0.856 Sr
0.000 0.000 0.000 Ac
0.076 0.582 0.582 Zn
0.335 0.335 0.335 Zn
0.418 0.418 0.924 Zn
0.418 0.924 0.418 Zn
0.500 0.500 0.500 Zn
0.582 0.076 0.582 Zn
0.582 0.582 0.076 Zn
0.665 0.665 0.665 Zn
0.924 0.418 0.418 Zn
```